The following is a DFT calculation (GGA-PBE) of an optimized crystal structure of YNi12B6.

Calculated values
For the energy of formation, the calculation gives -393 meV/atom. The calculation puts the total energy at -6.4931 eV per atom.

Lattice parameters (Å, degrees): 6.0137 6.0137 6.0137 104.46 104.46 104.46
Sites, in units of the cell vectors:
1 Y 0.0000 0.0000 0.0000
2 Ni 0.1304 0.5000 0.8696
3 Ni 0.1304 0.8696 0.5000
4 Ni 0.1866 0.4531 0.4531
5 Ni 0.4531 0.1866 0.4531
6 Ni 0.4531 0.4531 0.1866
7 Ni 0.5000 0.1304 0.8696
8 Ni 0.5000 0.8696 0.1304
9 Ni 0.5469 0.5469 0.8134
10 Ni 0.5469 0.8134 0.5469
11 Ni 0.8134 0.5469 0.5469
12 Ni 0.8696 0.1304 0.5000
13 Ni 0.8696 0.5000 0.1304
14 B 0.2358 0.2358 0.6707
15 B 0.2358 0.6707 0.2358
16 B 0.3293 0.7642 0.7642
17 B 0.6707 0.2358 0.2358
18 B 0.7642 0.3293 0.7642
19 B 0.7642 0.7642 0.3293

***

The following is a DFT calculation (GGA-PBE) of an optimized crystal structure of YNi12B6.

Calculated values
For the energy of formation, the calculation gives -394 meV/atom. The calculation puts the total energy at -6.4942 eV per atom.

Lattice parameters (Å, degrees): 6.0368 6.0368 10.9839 90.00 90.00 75.20
Sites, in units of the cell vectors:
1 Y 0.1667 0.8333 0.5000
2 Y 0.8333 0.1667 0.0000
3 Ni 0.0027 0.6315 0.0593
4 Ni 0.1180 0.1451 0.2410
5 Ni 0.1451 0.1180 0.7410
6 Ni 0.1946 0.5437 0.2630
7 Ni 0.2120 0.5260 0.7203
8 Ni 0.2171 0.7829 0.8971
9 Ni 0.2710 0.3424 0.9287
10 Ni 0.3424 0.2710 0.4287
11 Ni 0.3685 0.9973 0.0593
12 Ni 0.4329 0.5671 0.0785
13 Ni 0.4563 0.8054 0.2630
14 Ni 0.4740 0.7880 0.7203
15 Ni 0.5260 0.2120 0.2203
16 Ni 0.5437 0.1946 0.7630
17 Ni 0.5671 0.4329 0.5785
18 Ni 0.6315 0.0027 0.5593
19 Ni 0.6576 0.7290 0.9287
20 Ni 0.7290 0.6576 0.4287
21 Ni 0.7829 0.2171 0.3971
22 Ni 0.7880 0.4740 0.2203
23 Ni 0.8054 0.4563 0.7630
24 Ni 0.8549 0.8820 0.2410
25 Ni 0.8820 0.8549 0.7410
26 Ni 0.9973 0.3685 0.5593
27 B 0.0124 0.4006 0.3741
28 B 0.1637 0.8363 0.1577
29 B 0.2418 0.3273 0.1117
30 B 0.3273 0.2418 0.6117
31 B 0.4006 0.0124 0.8741
32 B 0.4868 0.5132 0.8407
33 B 0.5132 0.4868 0.3407
34 B 0.5994 0.9876 0.3741
35 B 0.6727 0.7582 0.1117
36 B 0.7582 0.6727 0.6117
37 B 0.8363 0.1637 0.6577
38 B 0.9876 0.5994 0.8741

***

The following is a DFT calculation (GGA-PBE) of an optimized crystal structure of Y2NiB.

Calculated values
For the energy of formation, the calculation gives 298 meV/atom. The calculation puts the total energy at -6.0483 eV per atom.

Lattice parameters (Å, degrees): 6.0316 6.0316 6.0316 109.77 109.77 108.87
Sites, in units of the cell vectors:
1 Y 0.1028 0.6250 0.9778
2 Y 0.3750 0.3528 0.4778
3 Y 0.6472 0.1250 0.0222
4 Y 0.8750 0.8972 0.5222
5 Ni 0.2500 0.7500 0.5000
6 Ni 0.5000 0.5000 0.0000
7 B 0.0000 0.0000 0.0000
8 B 0.7500 0.2500 0.5000